A plane-wave DFT calculation with PBE with a Hubbard U was carried out for a geometry-optimized VIn2SbO8 structure.

```
12
Lattice="3.3446 -3.4838 0.0000 3.3446 3.4838 0.0000 0.0000 0.0000 6.3252" Properties=species:S:1:pos:R:3 pbc="T T T"
V 0.0000 0.0000 0.0000
In 3.3446 0.0000 1.5480
In 3.3446 0.0000 4.7772
Sb 0.0000 0.0000 3.1626
O 3.3446 2.2353 1.5232
O 3.3446 2.2353 4.8021
O 1.8649 0.0000 0.0000
O 1.9607 0.0000 3.1626
O 4.7285 0.0000 3.1626
O 4.8243 0.0000 0.0000
O 3.3446 -2.2353 1.5232
O 3.3446 -2.2353 4.8021
```

ρ (Mg/m³): 5.97
Spin magnetization (μB/f.u.): 0.0
Total energy (eV per formula unit): -74.99